Record 1
A relaxed structure of La2AlSn, computed with PBE.

Output
**Space-group type**: P4/mmm, No. 123
**Energy relative to the elements**: -0.54 eV/atom
**Total moment**: 0.0 μB per formula unit
**Mass density**: 6.1 Mg/m³

Cell lengths 4.492, 5.058, 5.058 Å; angles 90.00, 90.00, 90.00 degrees
Positions (direct):
La1 0.000 0.000 0.500
La2 0.000 0.500 0.000
Al1 0.500 0.500 0.500
Sn1 0.500 0.000 0.000

=====

Record 2
A relaxed structure of LaAl4Sn, computed with PBE.

Output
**Space-group type**: F-43m, No. 216
**Energy relative to the elements**: -0.19 eV/atom
**Total moment**: 0.0 μB per formula unit
**Mass density**: 4.7 Mg/m³

Cell lengths 5.686, 5.686, 5.686 Å; angles 60.00, 60.00, 60.00 degrees
Positions (direct):
Al1 0.626 0.123 0.626
Al2 0.123 0.626 0.626
Sn1 0.000 0.000 0.000
Al3 0.626 0.626 0.626
La1 0.250 0.250 0.250
Al4 0.626 0.626 0.123

=====

Record 3
A relaxed structure of La2AlSn2, computed with PBE.

Output
**Space-group type**: P4/mbm, No. 127
**Energy relative to the elements**: -0.31 eV/atom
**Total moment**: 0.0 μB per formula unit
**Mass density**: 5.9 Mg/m³
**Offset from the most stable computed form**: 0.3583 eV/atom

Cell lengths 8.258, 8.258, 4.467 Å; angles 90.00, 90.00, 90.00 degrees
Positions (direct):
Sn1 0.173 0.673 0.500
La1 0.367 0.867 0.000
Sn2 0.327 0.173 0.500
La2 0.133 0.367 0.000
La3 0.867 0.633 0.000
Sn3 0.827 0.327 0.500
Al1 0.500 0.500 0.000
Sn4 0.673 0.827 0.500
La4 0.633 0.133 0.000
Al2 0.000 0.000 0.000

=====

Record 4
A relaxed structure of LaAl2Sn, computed with PBE.

Output
**Space-group type**: I-42d, No. 122
**Energy relative to the elements**: -0.14 eV/atom
**Total moment**: 0.0 μB per formula unit
**Mass density**: 4.9 Mg/m³

Cell lengths 8.200, 8.200, 6.610 Å; angles 51.66, 51.66, 90.00 degrees
Positions (direct):
La1 0.000 0.000 0.000
Al1 0.583 0.125 0.250
Sn1 0.250 0.750 0.500
Sn2 0.500 0.500 0.000
Al2 0.375 0.417 0.750
Al3 0.167 0.625 0.250
La2 0.750 0.250 0.500
Al4 0.875 0.833 0.750

=====

Record 5
A relaxed structure of LaAlSn, computed with PBE.

Output
**Space-group type**: I4mm, No. 107
**Energy relative to the elements**: -0.21 eV/atom
**Total moment**: 0.0 μB per formula unit
**Mass density**: 5.4 Mg/m³

Cell lengths 4.413, 4.413, 5.462 Å; angles 113.83, 113.83, 90.00 degrees
Positions (direct):
Sn1 0.630 0.630 0.261
La1 0.282 0.282 0.564
Al1 0.937 0.937 0.875

=====

Record 6
A relaxed structure of LaAl2Sn, computed with PBE.

Output
**Space-group type**: P4/mmm, No. 123
**Energy relative to the elements**: -0.40 eV/atom
**Total moment**: 0.0 μB per formula unit
**Mass density**: 5.4 Mg/m³

Cell lengths 4.523, 4.593, 4.593 Å; angles 90.00, 90.00, 90.00 degrees
Positions (direct):
La1 0.500 0.500 0.500
Al1 0.000 0.000 0.500
Sn1 0.500 0.000 0.000
Al2 0.000 0.500 0.000

=====

Record 7
A relaxed structure of La4AlSn8, computed with PBE.

Output
**Space-group type**: Pmm2, No. 25
**Energy relative to the elements**: -0.61 eV/atom
**Total moment**: 0.0 μB per formula unit
**Mass density**: 6.8 Mg/m³

Cell lengths 4.499, 4.652, 17.937 Å; angles 90.00, 90.00, 90.00 degrees
Positions (direct):
La1 0.500 0.500 0.394
La2 0.000 0.500 0.607
Sn1 0.000 0.000 0.746
Sn2 0.000 0.000 0.470
La3 0.000 0.000 0.091
Al1 0.000 0.000 0.324
Sn3 0.000 0.500 0.933
Sn4 0.500 0.000 0.583
Sn5 0.500 0.500 0.753
Sn6 0.000 0.500 0.234
Sn7 0.500 0.500 0.043
Sn8 0.500 0.000 0.233
La4 0.500 0.000 0.892

=====

Record 8
A relaxed structure of La3AlSn, computed with PBE.

Output
**Space-group type**: Pm-3m, No. 221
**Energy relative to the elements**: -0.05 eV/atom
**Total moment**: 0.0 μB per formula unit
**Mass density**: 5.0 Mg/m³
**Offset from the most stable computed form**: 0.4054 eV/atom

Cell lengths 5.710, 5.710, 5.710 Å; angles 90.00, 90.00, 90.00 degrees
Positions (direct):
Al1 0.000 0.000 0.000
La1 0.000 0.000 0.500
La2 0.000 0.500 0.000
Sn1 0.500 0.500 0.500
La3 0.500 0.000 0.000

=====

Record 9
A relaxed structure of La2AlSn2, computed with PBE.

Output
**Space-group type**: C2/m, No. 12
**Energy relative to the elements**: -0.66 eV/atom
**Total moment**: 0.0 μB per formula unit
**Mass density**: 6.2 Mg/m³
**Offset from the most stable computed form**: 0.0000 eV/atom

Cell lengths 4.624, 6.405, 10.791 Å; angles 83.62, 77.63, 68.84 degrees
Positions (direct):
Al1 0.545 0.203 0.707
La1 0.301 0.747 0.652
La2 0.699 0.253 0.348
Sn1 0.062 0.296 0.580
Sn2 0.360 0.157 0.124
Sn3 0.640 0.843 0.876
Sn4 0.938 0.704 0.420
La3 0.903 0.287 0.907
Al2 0.455 0.797 0.293
La4 0.097 0.713 0.093

=====

Record 10
A relaxed structure of LaAl2SnTe, computed with PBE.

Output
**Space-group type**: P4/mmm, No. 123
**Energy relative to the elements, uncorrected**: 0.29 eV/atom
**Total moment**: 0.0 μB per formula unit
**Mass density**: 4.3 Mg/m³

Cell lengths 5.338, 6.017, 5.338 Å; angles 90.00, 90.00, 90.00 degrees
Positions (direct):
Te1 0.000 0.000 0.000
La1 0.000 0.500 0.000
Al1 0.500 0.000 0.000
Sn1 0.500 0.500 0.500
Al2 0.000 0.000 0.500

=====

Record 11
A relaxed structure of LaAl2VSn, computed with PBE.

Output
**Space-group type**: P4/mmm, No. 123
**Energy relative to the elements**: 1.37 eV/atom
**Total moment**: 2.1 μB per formula unit
**Mass density**: 4.0 Mg/m³

Cell lengths 5.603, 4.821, 5.603 Å; angles 90.00, 90.00, 90.00 degrees
Last column: magnetic moment on the atom in μB.
Positions (direct):
V1 0.000 0.500 0.000  1.90
Al1 0.000 0.000 0.500  -0.01
La1 0.000 0.000 0.000  0.01
Sn1 0.500 0.500 0.500  0.01
Al2 0.500 0.000 0.000  -0.04

=====

Record 12
A relaxed structure of SrLaAl2, computed with PBE.

Output
**Space-group type**: Pmmm, No. 47
**Energy relative to the elements**: -0.19 eV/atom
**Total moment**: 0.0 μB per formula unit
**Mass density**: 4.0 Mg/m³

Cell lengths 4.430, 3.669, 8.097 Å; angles 63.08, 90.00, 90.00 degrees
Positions (direct):
La1 0.500 0.250 0.250
Al1 0.000 0.540 0.461
Al2 0.000 0.960 0.039
Sr1 0.500 0.750 0.750

=====

Record 13
A relaxed structure of SrLaAl3, computed with PBE.

Output
**Space-group type**: Pm-3m, No. 221
**Energy relative to the elements**: 0.82 eV/atom
**Total moment**: 0.0 μB per formula unit
**Mass density**: 3.1 Mg/m³
**Offset from the most stable computed form**: 0.2095 eV/atom

Cell lengths 5.482, 5.482, 5.482 Å; angles 90.00, 90.00, 90.00 degrees
Positions (direct):
Al1 0.000 0.000 0.500
Al2 0.500 0.000 0.000
La1 0.500 0.500 0.500
Sr1 0.000 0.000 0.000
Al3 0.000 0.500 0.000

=====

Record 14
A relaxed structure of SrLa2Al, computed with PBE.

Output
**Space-group type**: P2/m, No. 10
**Energy relative to the elements**: 0.01 eV/atom
**Total moment**: 0.0 μB per formula unit
**Mass density**: 4.8 Mg/m³

Cell lengths 5.681, 3.804, 6.396 Å; angles 79.50, 90.00, 90.00 degrees
Positions (direct):
La1 0.000 0.956 0.952
La2 0.000 0.544 0.548
Al1 0.500 0.750 0.750
Sr1 0.500 0.250 0.250

=====

Record 15
A relaxed structure of SrLaAl2, computed with PBE.

Output
**Space-group type**: F-43m, No. 216
**Energy relative to the elements**: 0.19 eV/atom
**Total moment**: 0.0 μB per formula unit
**Mass density**: 4.2 Mg/m³

Cell lengths 5.381, 5.381, 5.381 Å; angles 60.00, 60.00, 60.00 degrees
Positions (direct):
Al1 0.000 0.000 0.000
La1 0.500 0.500 0.500
Sr1 0.750 0.750 0.750
Al2 0.250 0.250 0.250

=====

Record 16
A relaxed structure of SrLa2Al, computed with PBE.

Output
**Space-group type**: F-43m, No. 216
**Energy relative to the elements**: 0.13 eV/atom
**Total moment**: 2.2 μB per formula unit
**Mass density**: 5.0 Mg/m³

Cell lengths 5.702, 5.702, 5.702 Å; angles 60.00, 60.00, 60.00 degrees
Last column: magnetic moment on the atom in μB.
Positions (direct):
Al1 0.500 0.500 0.500  -0.03
La1 0.250 0.250 0.250  0.38
La2 0.000 0.000 0.000  0.53
Sr1 0.750 0.750 0.750  0.11

=====

Record 17
A relaxed structure of SrLaAl2, computed with PBE.

Output
**Space-group type**: P4mm, No. 99
**Energy relative to the elements**: -0.08 eV/atom
**Total moment**: 0.0 μB per formula unit
**Mass density**: 4.0 Mg/m³

Cell lengths 3.566, 3.566, 9.226 Å; angles 90.00, 90.00, 90.00 degrees
Positions (direct):
Sr1 0.500 0.500 0.805
La1 0.000 0.000 0.430
Al1 0.000 0.000 0.062
Al2 0.500 0.500 0.203

=====

Record 18
A relaxed structure of SrLaAl2, computed with PBE.

Output
**Space-group type**: I-42d, No. 122
**Energy relative to the elements**: 0.23 eV/atom
**Total moment**: 0.0 μB per formula unit
**Mass density**: 3.7 Mg/m³

Cell lengths 8.630, 8.630, 6.991 Å; angles 51.88, 51.88, 90.00 degrees
Positions (direct):
Sr1 0.500 0.500 0.000
Al1 0.375 0.365 0.750
La1 0.000 0.000 0.000
Sr2 0.250 0.750 0.500
La2 0.750 0.250 0.500
Al2 0.115 0.625 0.250
Al3 0.635 0.125 0.250
Al4 0.875 0.885 0.750

=====

Record 19
A relaxed structure of SrLaAl2, computed with PBE.

Output
**Space-group type**: R-3m, No. 166
**Energy relative to the elements**: 0.08 eV/atom
**Total moment**: 0.0 μB per formula unit
**Mass density**: 3.7 Mg/m³

Cell lengths 10.285, 10.285, 10.285 Å; angles 21.33, 21.33, 21.33 degrees
Positions (direct):
Al1 0.998 0.998 0.998
La1 0.250 0.250 0.250
Al2 0.502 0.502 0.502
Sr1 0.750 0.750 0.750

=====

Record 20
A relaxed structure of SrLaAl2, computed with PBE.

Output
**Space-group type**: Imm2, No. 44
**Energy relative to the elements**: -0.20 eV/atom
**Total moment**: 0.0 μB per formula unit
**Mass density**: 4.1 Mg/m³

Cell lengths 6.365, 6.365, 5.244 Å; angles 65.70, 65.70, 36.23 degrees
Positions (direct):
La1 0.480 0.480 0.520
Sr1 0.271 0.271 0.229
Al1 0.706 0.706 0.794
Al2 0.043 0.043 0.957

=====

Record 21
A relaxed structure of SrLa2Al, computed with PBE.

Output
**Space-group type**: Pmm2, No. 25
**Energy relative to the elements**: -0.05 eV/atom
**Total moment**: 0.0 μB per formula unit
**Mass density**: 4.7 Mg/m³

Cell lengths 3.816, 4.313, 8.338 Å; angles 90.00, 90.00, 90.00 degrees
Positions (direct):
Sr1 0.000 0.000 0.544
Al1 0.500 0.500 0.788
La1 0.000 0.000 0.973
La2 0.500 0.500 0.195

=====

Record 22
A relaxed structure of Sr2LaAl2, computed with PBE.

Output
**Space-group type**: I4/mmm, No. 139
**Energy relative to the elements**: 0.37 eV/atom
**Total moment**: 0.0 μB per formula unit
**Mass density**: 3.5 Mg/m³
**Offset from the most stable computed form**: 0.4656 eV/atom

Cell lengths 4.927, 4.927, 8.057 Å; angles 72.20, 72.20, 90.00 degrees
Positions (direct):
Sr1 0.619 0.619 0.762
Al1 0.750 0.250 0.500
Al2 0.250 0.750 0.500
La1 0.000 0.000 0.000
Sr2 0.381 0.381 0.238

=====

Record 23
A relaxed structure of SrLa2Al, computed with PBE.

Output
**Space-group type**: I4/mmm, No. 139
**Energy relative to the elements**: -0.01 eV/atom
**Total moment**: 0.0 μB per formula unit
**Mass density**: 5.1 Mg/m³

Cell lengths 6.179, 6.179, 6.179 Å; angles 131.79, 131.79, 70.56 degrees
Positions (direct):
Sr1 0.250 0.750 0.500
Al1 0.750 0.250 0.500
La1 0.000 0.000 0.000
La2 0.500 0.500 0.000

=====

Record 24
A relaxed structure of SrLa2Al, computed with PBE.

Output
**Space-group type**: P4/mmm, No. 123
**Energy relative to the elements**: -0.10 eV/atom
**Total moment**: 0.0 μB per formula unit
**Mass density**: 4.4 Mg/m³

Cell lengths 3.857, 3.857, 9.866 Å; angles 90.00, 90.00, 90.00 degrees
Positions (direct):
La1 0.000 0.000 0.930
La2 0.000 0.000 0.570
Sr1 0.500 0.500 0.250
Al1 0.500 0.500 0.750

=====

Record 25
A relaxed structure of Sr2LaAl2, computed with PBE.

Output
**Space-group type**: P4/mbm, No. 127
**Energy relative to the elements**: -0.10 eV/atom
**Total moment**: 0.0 μB per formula unit
**Mass density**: 3.6 Mg/m³
**Offset from the most stable computed form**: 0.0000 eV/atom

Cell lengths 8.119, 8.119, 5.194 Å; angles 90.00, 90.00, 90.00 degrees
Positions (direct):
Al1 0.116 0.384 0.000
Sr1 0.672 0.828 0.500
Sr2 0.172 0.672 0.500
Al2 0.616 0.116 0.000
Sr3 0.328 0.172 0.500
La1 0.000 0.000 0.000
La2 0.500 0.500 0.000
Sr4 0.828 0.328 0.500
Al3 0.384 0.884 0.000
Al4 0.884 0.616 0.000

=====

Record 26
A relaxed structure of SrLa2Al, computed with PBE.

Output
**Space-group type**: I-42d, No. 122
**Energy relative to the elements**: 0.14 eV/atom
**Total moment**: 0.0 μB per formula unit
**Mass density**: 4.4 Mg/m³

Cell lengths 9.305, 9.305, 7.409 Å; angles 51.10, 51.10, 90.00 degrees
Positions (direct):
Al1 0.250 0.750 0.500
La1 0.575 0.125 0.250
Al2 0.500 0.500 0.000
La2 0.875 0.825 0.750
La3 0.175 0.625 0.250
Sr1 0.750 0.250 0.500
La4 0.375 0.425 0.750
Sr2 0.000 0.000 0.000

=====

Record 27
A relaxed structure of SrLa2Al, computed with PBE.

Output
**Space-group type**: Cm, No. 8
**Energy relative to the elements**: -0.02 eV/atom
**Total moment**: 0.0 μB per formula unit
**Mass density**: 4.7 Mg/m³

Cell lengths 6.927, 6.927, 5.623 Å; angles 66.16, 66.16, 34.14 degrees
Positions (direct):
Sr1 0.537 0.537 0.462
La1 0.749 0.749 0.752
La2 0.960 0.960 0.039
Al1 0.254 0.254 0.247

=====

Record 28
A relaxed structure of SrLaAl2, computed with PBE.

Output
**Space-group type**: Cmmm, No. 65
**Energy relative to the elements**: -0.20 eV/atom
**Total moment**: 0.0 μB per formula unit
**Mass density**: 4.0 Mg/m³

Cell lengths 8.634, 5.460, 3.884 Å; angles 89.96, 63.32, 129.12 degrees
Positions (direct):
La1 0.000 0.500 0.500
Sr1 0.500 0.500 0.000
Al1 0.000 0.000 0.000
Al2 0.500 0.000 0.500